Compound: Tl2RePt
Source: the Alexandria database
Functional: GGA-PBE
Structure: relaxed

Cell and atoms, written as CIF:
```
data_Tl2RePt
_chemical_formula_sum 'Tl8 Re4 Pt4'
_cell_length_a 4.178
_cell_length_b 4.178
_cell_length_c 19.683
_cell_angle_alpha 90.00
_cell_angle_beta 90.00
_cell_angle_gamma 90.00
_space_group_name_H-M_alt 'I -4 2 d'
_space_group_IT_number 122
_space_group_name_Hall 'I -4 2bw'
loop_
_atom_site_label
_atom_site_type_symbol
_atom_site_fract_x
_atom_site_fract_y
_atom_site_fract_z
Tl1 Tl 0.247 0.250 0.125
Re1 Re 0.000 0.000 0.000
Pt1 Pt 0.000 0.000 0.500
```

Computed properties:
- offset from the most stable computed form (meV/atom) = 550.1
- calculated formation energy (meV per atom) = 991

***

Compound: TlRePt2
Source: the Alexandria database
Functional: GGA-PBE
Structure: relaxed

Cell and atoms, written as CIF:
```
data_TlRePt2
_chemical_formula_sum 'Tl4 Re4 Pt8'
_cell_length_a 6.090
_cell_length_b 6.090
_cell_length_c 11.355
_cell_angle_alpha 90.00
_cell_angle_beta 90.00
_cell_angle_gamma 90.00
_space_group_name_H-M_alt 'I -4 2 d'
_space_group_IT_number 122
_space_group_name_Hall 'I -4 2bw'
loop_
_atom_site_label
_atom_site_type_symbol
_atom_site_fract_x
_atom_site_fract_y
_atom_site_fract_z
Tl1 Tl 0.000 0.000 0.000
Re1 Re 0.000 0.000 0.500
Pt1 Pt 0.201 0.250 0.625
```

Computed properties:
- offset from the most stable computed form (meV/atom) = 693.2
- calculated formation energy (meV per atom) = 803

***

Compound: Tl2RePt
Source: the Alexandria database
Functional: GGA-PBE
Structure: relaxed

Cell and atoms, written as CIF:
```
data_Tl2RePt
_chemical_formula_sum 'Tl2 Re1 Pt1'
_cell_length_a 3.049
_cell_length_b 4.748
_cell_length_c 5.412
_cell_angle_alpha 90.00
_cell_angle_beta 90.00
_cell_angle_gamma 90.00
_space_group_name_H-M_alt 'P m m m'
_space_group_IT_number 47
loop_
_space_group_symop_operation_xyz
'x,y,z'
'-x,-y,-z'
'-x,-y,z'
'x,y,-z'
'x,-y,-z'
'-x,y,z'
'-x,y,-z'
'x,-y,z'
loop_
_atom_site_label
_atom_site_type_symbol
_atom_site_fract_x
_atom_site_fract_y
_atom_site_fract_z
Tl1 Tl 0.000 0.000 0.000
Tl2 Tl 0.500 0.000 0.500
Re1 Re 0.000 0.500 0.500
Pt1 Pt 0.500 0.500 0.000
```

Computed properties:
- offset from the most stable computed form (meV/atom) = 380.0
- calculated formation energy (meV per atom) = 821

***

Compound: TlRePt2
Source: the Alexandria database
Functional: GGA-PBE
Structure: relaxed

Cell and atoms, written as CIF:
```
data_TlRePt2
_chemical_formula_sum 'Tl2 Re2 Pt4'
_cell_length_a 2.873
_cell_length_b 4.945
_cell_length_c 9.931
_cell_angle_alpha 90.00
_cell_angle_beta 90.00
_cell_angle_gamma 90.00
_space_group_name_H-M_alt 'I m m m'
_space_group_IT_number 71
_space_group_name_Hall '-I 2 2'
loop_
_atom_site_label
_atom_site_type_symbol
_atom_site_fract_x
_atom_site_fract_y
_atom_site_fract_z
Tl1 Tl 0.000 0.000 0.000
Re1 Re 0.000 0.000 0.500
Pt1 Pt 0.000 0.500 0.231
```

Computed properties:
- offset from the most stable computed form (meV/atom) = 408.5
- calculated formation energy (meV per atom) = 518

***

Compound: TlRe2Pt
Source: the Alexandria database
Functional: GGA-PBE
Structure: relaxed

Cell and atoms, written as CIF:
```
data_TlRe2Pt
_chemical_formula_sum 'Tl2 Re4 Pt2'
_cell_length_a 4.086
_cell_length_b 4.086
_cell_length_c 7.946
_cell_angle_alpha 90.00
_cell_angle_beta 90.00
_cell_angle_gamma 90.00
_space_group_name_H-M_alt 'I -4 m 2'
_space_group_IT_number 119
_space_group_name_Hall 'I -4 -2'
loop_
_atom_site_label
_atom_site_type_symbol
_atom_site_fract_x
_atom_site_fract_y
_atom_site_fract_z
Tl1 Tl 0.000 0.000 0.000
Re1 Re 0.000 0.000 0.500
Re2 Re 0.000 0.500 0.250
Pt1 Pt 0.000 0.500 0.750
```

Computed properties:
- offset from the most stable computed form (meV/atom) = 347.0
- calculated formation energy (meV per atom) = 654

***

Compound: TlRe2Pt
Source: the Alexandria database
Functional: GGA-PBE
Structure: relaxed

Cell and atoms, written as CIF:
```
data_TlRe2Pt
_chemical_formula_sum 'Tl3 Re6 Pt3'
_cell_length_a 2.8881
_cell_length_b 2.8881
_cell_length_c 28.3133
_cell_angle_alpha 90.00
_cell_angle_beta 90.00
_cell_angle_gamma 120.00
_space_group_name_H-M_alt 'R 3 m'
_space_group_IT_number 160
_space_group_name_Hall 'R 3 -2"'
loop_
_atom_site_label
_atom_site_type_symbol
_atom_site_fract_x
_atom_site_fract_y
_atom_site_fract_z
Tl1 Tl 0.0000 0.0000 0.0000
Re1 Re 0.0000 0.0000 0.2420
Re2 Re 0.0000 0.0000 0.5027
Pt1 Pt 0.0000 0.0000 0.7558
```

Computed properties:
- offset from the most stable computed form (meV/atom) = 55.2
- calculated formation energy (meV per atom) = 362

***

Compound: TlRe2Pt
Source: the Alexandria database
Functional: GGA-PBE
Structure: relaxed

Cell and atoms, written as CIF:
```
data_TlRe2Pt
_chemical_formula_sum 'Tl4 Re8 Pt4'
_cell_length_a 6.477
_cell_length_b 6.477
_cell_length_c 6.477
_cell_angle_alpha 90.00
_cell_angle_beta 90.00
_cell_angle_gamma 90.00
_space_group_name_H-M_alt 'F -4 3 m'
_space_group_IT_number 216
_space_group_name_Hall 'F -4 2 3'
loop_
_atom_site_label
_atom_site_type_symbol
_atom_site_fract_x
_atom_site_fract_y
_atom_site_fract_z
Tl1 Tl 0.000 0.000 0.000
Re1 Re 0.000 0.000 0.500
Re2 Re 0.250 0.250 0.250
Pt1 Pt 0.250 0.250 0.750
```

Computed properties:
- offset from the most stable computed form (meV/atom) = 519.7
- calculated formation energy (meV per atom) = 826

***

Compound: TlRe2Pt
Source: the Alexandria database
Functional: GGA-PBE
Structure: relaxed

Cell and atoms, written as CIF:
```
data_TlRe2Pt
_chemical_formula_sum 'Tl1 Re2 Pt1'
_cell_length_a 3.335
_cell_length_b 4.294
_cell_length_c 4.729
_cell_angle_alpha 90.00
_cell_angle_beta 90.00
_cell_angle_gamma 90.00
_space_group_name_H-M_alt 'P m m m'
_space_group_IT_number 47
loop_
_space_group_symop_operation_xyz
'x,y,z'
'-x,-y,-z'
'-x,-y,z'
'x,y,-z'
'x,-y,-z'
'-x,y,z'
'-x,y,-z'
'x,-y,z'
loop_
_atom_site_label
_atom_site_type_symbol
_atom_site_fract_x
_atom_site_fract_y
_atom_site_fract_z
Tl1 Tl 0.000 0.000 0.000
Re1 Re 0.000 0.500 0.500
Re2 Re 0.500 0.000 0.500
Pt1 Pt 0.500 0.500 0.000
```

Computed properties:
- offset from the most stable computed form (meV/atom) = 451.1
- calculated formation energy (meV per atom) = 758

***

Compound: Tl2RePt
Source: the Alexandria database
Functional: GGA-PBE
Structure: relaxed

Cell and atoms, written as CIF:
```
data_Tl2RePt
_chemical_formula_sum 'Tl2 Re1 Pt1'
_cell_length_a 2.980
_cell_length_b 4.676
_cell_length_c 5.589
_cell_angle_alpha 90.00
_cell_angle_beta 91.06
_cell_angle_gamma 90.00
_space_group_name_H-M_alt 'P 1 2/m 1'
_space_group_IT_number 10
loop_
_space_group_symop_operation_xyz
'x,y,z'
'-x,-y,-z'
'-x,y,-z'
'x,-y,z'
loop_
_atom_site_label
_atom_site_type_symbol
_atom_site_fract_x
_atom_site_fract_y
_atom_site_fract_z
Tl1 Tl 0.225 0.000 0.249
Re1 Re 0.500 0.500 0.000
Pt1 Pt 0.000 0.500 0.500
```

Computed properties:
- offset from the most stable computed form (meV/atom) = 366.4
- calculated formation energy (meV per atom) = 807

***

Compound: Tl2RePt
Source: the Alexandria database
Functional: GGA-PBE
Structure: relaxed

Cell and atoms, written as CIF:
```
data_Tl2RePt
_chemical_formula_sum 'Tl4 Re2 Pt2'
_cell_length_a 4.087
_cell_length_b 4.087
_cell_length_c 9.377
_cell_angle_alpha 90.00
_cell_angle_beta 90.00
_cell_angle_gamma 90.00
_space_group_name_H-M_alt 'I -4 m 2'
_space_group_IT_number 119
_space_group_name_Hall 'I -4 -2'
loop_
_atom_site_label
_atom_site_type_symbol
_atom_site_fract_x
_atom_site_fract_y
_atom_site_fract_z
Tl1 Tl 0.000 0.000 0.000
Tl2 Tl 0.000 0.500 0.250
Re1 Re 0.000 0.500 0.750
Pt1 Pt 0.000 0.000 0.500
```

Computed properties:
- offset from the most stable computed form (meV/atom) = 430.9
- calculated formation energy (meV per atom) = 872

***

Compound: Tl2RePt
Source: the Alexandria database
Functional: GGA-PBE
Structure: relaxed

Cell and atoms, written as CIF:
```
data_Tl2RePt
_chemical_formula_sum 'Tl4 Re2 Pt2'
_cell_length_a 2.937
_cell_length_b 4.793
_cell_length_c 11.987
_cell_angle_alpha 90.00
_cell_angle_beta 90.00
_cell_angle_gamma 90.00
_space_group_name_H-M_alt 'I m m 2'
_space_group_IT_number 44
loop_
_space_group_symop_operation_xyz
'x,y,z'
'-x,-y,z'
'-x,y,z'
'x,-y,z'
'x+1/2,y+1/2,z+1/2'
'-x+1/2,-y+1/2,z+1/2'
'-x+1/2,y+1/2,z+1/2'
'x+1/2,-y+1/2,z+1/2'
loop_
_atom_site_label
_atom_site_type_symbol
_atom_site_fract_x
_atom_site_fract_y
_atom_site_fract_z
Tl1 Tl 0.000 0.000 0.000
Tl2 Tl 0.000 0.500 0.214
Re1 Re 0.000 0.000 0.495
Pt1 Pt 0.000 0.500 0.809
```

Computed properties:
- offset from the most stable computed form (meV/atom) = 190.6
- calculated formation energy (meV per atom) = 632

***

Compound: TlRePt2
Source: the Alexandria database
Functional: GGA-PBE
Structure: relaxed

Cell and atoms, written as CIF:
```
data_TlRePt2
_chemical_formula_sum 'Tl2 Re2 Pt4'
_cell_length_a 4.095
_cell_length_b 4.095
_cell_length_c 8.089
_cell_angle_alpha 90.00
_cell_angle_beta 90.00
_cell_angle_gamma 90.00
_space_group_name_H-M_alt 'I 4/m m m'
_space_group_IT_number 139
_space_group_name_Hall '-I 4 2'
loop_
_atom_site_label
_atom_site_type_symbol
_atom_site_fract_x
_atom_site_fract_y
_atom_site_fract_z
Tl1 Tl 0.000 0.000 0.000
Re1 Re 0.000 0.000 0.500
Pt1 Pt 0.000 0.500 0.250
```

Computed properties:
- offset from the most stable computed form (meV/atom) = 378.8
- calculated formation energy (meV per atom) = 488

***

Compound: Tl2RePt
Source: the Alexandria database
Functional: GGA-PBE
Structure: relaxed

Cell and atoms, written as CIF:
```
data_Tl2RePt
_chemical_formula_sum 'Tl4 Re2 Pt2'
_cell_length_a 3.196
_cell_length_b 5.195
_cell_length_c 9.348
_cell_angle_alpha 90.00
_cell_angle_beta 90.00
_cell_angle_gamma 90.00
_space_group_name_H-M_alt 'C m m m'
_space_group_IT_number 65
_space_group_name_Hall '-C 2 2'
loop_
_atom_site_label
_atom_site_type_symbol
_atom_site_fract_x
_atom_site_fract_y
_atom_site_fract_z
Tl1 Tl 0.000 0.000 0.247
Re1 Re 0.000 0.500 0.500
Pt1 Pt 0.000 0.500 0.000
```

Computed properties:
- offset from the most stable computed form (meV/atom) = 319.5
- calculated formation energy (meV per atom) = 761

***

Compound: TlRePt2
Source: the Alexandria database
Functional: GGA-PBE
Structure: relaxed

Cell and atoms, written as CIF:
```
data_TlRePt2
_chemical_formula_sum 'Tl1 Re1 Pt2'
_cell_length_a 3.999
_cell_length_b 4.013
_cell_length_c 4.249
_cell_angle_alpha 90.00
_cell_angle_beta 90.00
_cell_angle_gamma 90.00
_space_group_name_H-M_alt 'P m m m'
_space_group_IT_number 47
loop_
_space_group_symop_operation_xyz
'x,y,z'
'-x,-y,-z'
'-x,-y,z'
'x,y,-z'
'x,-y,-z'
'-x,y,z'
'-x,y,-z'
'x,-y,z'
loop_
_atom_site_label
_atom_site_type_symbol
_atom_site_fract_x
_atom_site_fract_y
_atom_site_fract_z
Tl1 Tl 0.000 0.000 0.000
Re1 Re 0.500 0.500 0.000
Pt1 Pt 0.000 0.500 0.500
Pt2 Pt 0.500 0.000 0.500
```

Computed properties:
- offset from the most stable computed form (meV/atom) = 396.2
- calculated formation energy (meV per atom) = 506